{
  "formula": "SnN2Cl4",
  "functional": "GGA-PBE",
  "state": "optimized geometry",
  "magnetic_moment_mub_per_cell": 5.93,
  "lattice_angstrom": [[-4.089, 5.475, 1.343], [-5.257, 2.832, 3.811], [1.102, 7.395, 9.510]],
  "species": ["N", "N", "Cl", "Cl", "Cl", "Cl", "Sn"],
  "frac_coords": [[0.111, 0.195, 0.447], [0.889, 0.805, 0.553], [0.974, 0.907, 0.227], [0.666, 0.653, 0.931], [0.334, 0.347, 0.069], [0.026, 0.093, 0.773], [0.000, 0.000, 0.000]]
}



{
  "formula": "SnN2Cl6",
  "functional": "GGA-PBE",
  "state": "optimized geometry",
  "magnetic_moment_mub_per_cell": 3.94,
  "lattice_angstrom": [[0.000, 5.063, 5.063], [5.063, 0.000, 5.063], [5.063, 5.063, 0.000]],
  "species": ["Cl", "Cl", "Cl", "Cl", "Cl", "Cl", "N", "N", "Sn"],
  "frac_coords": [[0.242, 0.242, 0.758], [0.758, 0.242, 0.242], [0.758, 0.758, 0.242], [0.242, 0.758, 0.758], [0.242, 0.758, 0.242], [0.758, 0.242, 0.758], [0.250, 0.250, 0.250], [0.750, 0.750, 0.750], [0.000, 0.000, 0.000]]
}



Record order is preserved below.
Uncorrected formation energy: 868.1; 858.4 meV per atom